[1]
Below is an optimized crystal structure of BaTcIr, with properties calculated at the GGA-PBE level.

Results
The space group is P1. The energy above the most stable polymorph in this dataset is 10.90 kJ/mol of atoms.

```
BaTcIr
1.0
-1.6257 -0.8695 -6.3371
0.1371 -3.7137 1.8177
-4.3933 -0.9938 7.6829
Ir Ba Tc
2 2 2
Direct
0.6484 0.1696 0.5237 Ir
0.9143 0.5766 0.7495 Ir
0.5687 0.9992 0.1528 Ba
0.2731 0.4208 0.5858 Ba
0.1603 0.2803 0.1684 Tc
0.9118 0.8599 0.9648 Tc
```

[2]
Below is an optimized crystal structure of KErIn2, with properties calculated at the GGA-PBE level.

Results
The space group is P4/mmm. The energy above the most stable polymorph in this dataset is 0.00 kJ/mol of atoms.

```
KErIn2
1.0
3.8154 0.0000 0.0000
0.0000 3.8154 0.0000
0.0000 0.0000 8.5817
K In Er
1 2 1
Direct
0.5000 0.5000 0.5000 K
0.0000 0.0000 0.7981 In
0.0000 0.0000 0.2019 In
0.5000 0.5000 0.0000 Er
```

[3]
Below is an optimized crystal structure of Sr2HfBiO6, with properties calculated at the GGA-PBE level.

Results
The space group is P2_1/c. The value obtained for the raw formation energy is -2.5702 eV/atom.

```
Sr2HfBiO6
1.0
5.9069 0.0000 -0.0140
0.0000 6.0302 0.0000
0.0324 0.0000 8.4130
Sr Hf Bi O
4 2 2 12
Direct
0.0107 0.9565 0.2495 Sr
0.5107 0.5435 0.7495 Sr
0.9893 0.0435 0.7505 Sr
0.4893 0.4565 0.2505 Sr
0.5000 0.0000 0.0000 Hf
0.0000 0.5000 0.5000 Hf
0.5000 0.0000 0.5000 Bi
0.0000 0.5000 0.0000 Bi
0.3058 0.7174 0.0508 O
0.8058 0.7826 0.5508 O
0.6942 0.2826 0.9492 O
0.1942 0.2174 0.4492 O
0.2839 0.6966 0.4537 O
0.7839 0.8034 0.9537 O
0.7161 0.3034 0.5463 O
0.2161 0.1966 0.0463 O
0.9084 0.5321 0.2610 O
0.4084 0.9679 0.7610 O
0.0916 0.4679 0.7390 O
0.5916 0.0321 0.2390 O
```

[4]
Below is an optimized crystal structure of ZnRuSe2Br, with properties calculated at the GGA-PBE level.

Results
The space group is P4/mmm. The value obtained for the raw formation energy is 0.3235 eV/atom. The energy above the most stable polymorph in this dataset is 0.00 kJ/mol of atoms.

```
ZnRuSe2Br
1.0
4.8188 0.0000 0.0000
0.0000 4.8188 0.0000
0.0000 0.0000 5.2999
Ru Zn Se Br
1 1 2 1
Direct
0.0000 0.0000 0.0000 Ru
0.5000 0.5000 0.5000 Zn
0.0000 0.5000 0.0000 Se
0.5000 0.0000 0.0000 Se
0.0000 0.0000 0.5000 Br
```

[5]
Below is an optimized crystal structure of Mn2V2ZnPt5, with properties calculated at the GGA-PBE level.

Results
The space group is P4/mbm.

```
Mn2V2ZnPt5
1.0
-0.2664 0.5693 -3.9458
-6.4566 -6.0381 -0.4353
-6.0250 6.3472 1.3225
Mn V Zn Pt
4 4 2 10
Direct
0.0000 0.6650 0.1650 Mn
0.0000 0.3350 0.8350 Mn
0.0000 0.1650 0.3350 Mn
0.0000 0.8350 0.6650 Mn
0.0000 0.1327 0.6327 V
0.0000 0.8673 0.3673 V
0.0000 0.6327 0.8673 V
0.0000 0.3673 0.1327 V
0.0000 0.0000 0.0000 Zn
0.0000 0.5000 0.5000 Zn
0.5000 0.1975 0.0798 Pt
0.5000 0.8025 0.9202 Pt
0.5000 0.0798 0.8025 Pt
0.5000 0.6975 0.4202 Pt
0.5000 0.9202 0.1975 Pt
0.5000 0.3025 0.5798 Pt
0.5000 0.5798 0.6975 Pt
0.5000 0.4202 0.3025 Pt
0.5000 0.5000 0.0000 Pt
0.5000 0.0000 0.5000 Pt
```

[6]
Below is an optimized crystal structure of PmGd3Co, with properties calculated at the GGA-PBE level.

Results
The space group is Pm-3m.

```
PmGd3Co
1.0
5.3333 0.0000 0.0000
0.0000 5.3333 0.0000
0.0000 0.0000 5.3333
Gd Co Pm
3 1 1
Direct
0.0000 0.5000 0.0000 Gd
0.0000 0.0000 0.5000 Gd
0.5000 0.0000 0.0000 Gd
0.0000 0.0000 0.0000 Co
0.5000 0.5000 0.5000 Pm
```

[7]
Below is an optimized crystal structure of Ba2In2F, with properties calculated at the GGA-PBE level.

Results
The space group is P4/mbm. The value obtained for the raw formation energy is -1.1047 eV/atom.

```
Ba2In2F
1.0
7.7048 0.0000 0.0000
0.0000 7.7048 0.0000
0.0000 0.0000 5.9773
F Ba In
2 4 4
Direct
0.0000 0.0000 0.0000 F
0.5000 0.5000 0.0000 F
0.3120 0.8120 0.0000 Ba
0.8120 0.6880 0.0000 Ba
0.6880 0.1880 0.0000 Ba
0.1880 0.3120 0.0000 Ba
0.1324 0.6324 0.5000 In
0.6324 0.8676 0.5000 In
0.8676 0.3676 0.5000 In
0.3676 0.1324 0.5000 In
```

[8]
Below is an optimized crystal structure of SrTa3O8, with properties calculated at the GGA-PBE level.

Results
The space group is P-3. The value obtained for the raw formation energy is -2.5480 eV/atom.

```
SrTa3O8
1.0
5.5163 0.0000 0.0000
-2.7581 4.7773 0.0000
0.0000 0.0000 6.6660
Sr Ta O
1 3 8
Direct
0.0000 0.0000 0.5000 Sr
0.6667 0.3333 0.8893 Ta
0.3333 0.6667 0.1107 Ta
0.0000 0.0000 0.0000 Ta
0.6893 0.0430 0.1308 O
0.3537 0.3107 0.1308 O
0.9570 0.6463 0.1308 O
0.3107 0.9570 0.8692 O
0.6463 0.6893 0.8692 O
0.0430 0.3537 0.8692 O
0.6667 0.3333 0.6184 O
0.3333 0.6667 0.3816 O
```

[9]
Below is an optimized crystal structure of K2ErTeSe4, with properties calculated at the GGA-PBE level.

Results
The space group is C2/c. The value obtained for the raw formation energy is -1.0671 eV/atom.

```
K2ErTeSe4
1.0
8.5922 -0.0031 0.2412
-0.0091 8.5922 0.2412
-4.0162 -4.0190 6.3278
K Er Te Se
4 2 2 8
Direct
0.5000 0.0000 0.0000 K
0.5000 0.0000 0.5000 K
0.0000 0.0000 0.5000 K
0.5000 0.5000 0.0000 K
0.0000 0.5000 0.0000 Er
0.0000 0.5000 0.5000 Er
0.5000 0.5000 0.5000 Te
0.0000 0.0000 0.0000 Te
0.1952 0.7275 0.9448 Se
0.7725 0.3048 0.5552 Se
0.2275 0.6952 0.4448 Se
0.8048 0.2725 0.0552 Se
0.7917 0.7600 0.0097 Se
0.7400 0.7083 0.4903 Se
0.2600 0.2917 0.5097 Se
0.2083 0.2400 0.9903 Se
```

[10]
Below is an optimized crystal structure of Ce2Ge3PPt4, with properties calculated at the GGA-PBE level.

Results
The space group is P-4m2.

```
Ce2Ge3PPt4
1.0
-1.7277 4.0468 0.3019
-3.3772 -1.6158 2.3317
4.9645 1.5053 8.2338
Ce Ge P Pt
2 3 1 4
Direct
0.5000 0.0000 0.2559 Ce
0.0000 0.5000 0.7441 Ce
0.0000 0.0000 0.5000 Ge
0.5000 0.0000 0.8678 Ge
0.0000 0.5000 0.1322 Ge
0.5000 0.5000 0.5000 P
0.5000 0.5000 0.0000 Pt
0.0000 0.0000 0.0000 Pt
0.5000 0.0000 0.6137 Pt
0.0000 0.5000 0.3863 Pt
```

[11]
Below is an optimized crystal structure of Rb4U3NiSe8, with properties calculated at the GGA-PBE level.

Results
The space group is C2/m. The value obtained for the raw formation energy is -1.0390 eV/atom.

```
Rb4U3NiSe8
1.0
-4.4664 6.7709 1.4863
-4.3091 -1.0304 -8.2549
-0.4484 -6.4969 5.3729
Rb U Ni Se
4 3 1 8
Direct
0.5000 0.0000 0.0000 Rb
0.5000 0.0000 0.5000 Rb
0.0000 0.0000 0.0000 Rb
0.0000 0.0000 0.5000 Rb
0.5000 0.5000 0.0000 U
0.5000 0.5000 0.5000 U
0.0000 0.5000 0.5000 U
0.0000 0.5000 0.0000 Ni
0.2127 0.6802 0.9600 Se
0.2437 0.7031 0.4874 Se
0.2687 0.2998 0.5374 Se
0.7473 0.6802 0.9600 Se
0.2527 0.3198 0.0400 Se
0.7313 0.7002 0.4626 Se
0.7563 0.2969 0.5126 Se
0.7873 0.3198 0.0400 Se
```

[12]
Below is an optimized crystal structure of PrYEr2Se6, with properties calculated at the GGA-PBE level.

Results
The space group is R3. The value obtained for the raw formation energy is -1.8447 eV/atom.

```
PrYEr2Se6
1.0
7.2650 0.0004 0.0004
3.6328 6.2915 0.0003
3.6325 2.0977 6.4801
Pr Y Er Se
1 1 2 6
Direct
0.8111 0.8111 0.5666 Pr
0.3175 0.3175 0.0475 Y
0.5150 0.5149 0.4552 Er
0.0111 0.0112 0.9667 Er
0.6143 0.2296 0.2459 Se
0.2296 0.9101 0.2459 Se
0.9102 0.6144 0.2459 Se
0.3913 0.7283 0.7471 Se
0.7283 0.1331 0.7472 Se
0.1332 0.3914 0.7472 Se
```

[13]
Below is an optimized crystal structure of La3Rh4Pb2, with properties calculated at the GGA-PBE level.

Results
The space group is C2/c.

```
La3Rh4Pb2
1.0
8.2853 0.2470 0.1769
0.7984 7.1641 -1.0208
0.7984 1.3420 7.1110
La Rh Pb
6 8 4
Direct
0.9220 0.0421 0.2523 La
0.5780 0.7477 0.9579 La
0.0780 0.9579 0.7477 La
0.4220 0.2523 0.0421 La
0.2500 0.6282 0.3718 La
0.7500 0.3718 0.6282 La
0.2977 0.9942 0.2649 Rh
0.2023 0.7351 0.0058 Rh
0.7023 0.0058 0.7351 Rh
0.7977 0.2649 0.9942 Rh
0.0940 0.2951 0.4389 Rh
0.4060 0.5611 0.7049 Rh
0.9060 0.7049 0.5611 Rh
0.5940 0.4389 0.2951 Rh
0.4168 0.1992 0.5434 Pb
0.0832 0.4566 0.8008 Pb
0.5832 0.8008 0.4566 Pb
0.9168 0.5434 0.1992 Pb
```

[14]
Below is an optimized crystal structure of KGe2Br, with properties calculated at the GGA-PBE level.

Results
The space group is Fm-3m. The value obtained for the raw formation energy is 0.4932 eV/atom.

```
KGe2Br
1.0
3.4626 -4.1010 -0.3483
-1.5051 -4.5983 -2.3493
2.0606 -1.3820 -4.7721
Ge K Br
2 1 1
Direct
0.2500 0.2500 0.2500 Ge
0.7500 0.7500 0.7500 Ge
0.0000 0.0000 0.0000 K
0.5000 0.5000 0.5000 Br
```

[15]
Below is an optimized crystal structure of SrAcAlIn, with properties calculated at the GGA-PBE level.

Results
The space group is F-43m.

```
SrAcAlIn
1.0
-0.0565 -1.8799 5.3770
-2.1027 -5.1582 1.1919
3.4999 -4.2062 1.5837
Sr Ac Al In
1 1 1 1
Direct
0.7500 0.7500 0.7500 Sr
0.2500 0.2500 0.2500 Ac
0.5000 0.5000 0.5000 Al
0.0000 0.0000 0.0000 In
```

[16]
Below is an optimized crystal structure of HfTcAs, with properties calculated at the GGA-PBE level.

Results
The space group is Imm2. The energy above the most stable polymorph in this dataset is 27.64 kJ/mol of atoms.

```
HfTcAs
1.0
3.4309 0.0000 0.0000
0.0000 4.2347 0.0000
0.0000 0.0000 14.0401
As Hf Tc
4 4 4
Direct
0.0000 0.0000 0.6503 As
0.5000 0.5000 0.1503 As
0.0000 0.0000 0.3668 As
0.5000 0.5000 0.8668 As
0.0000 0.5000 0.5155 Hf
0.5000 0.0000 0.0155 Hf
0.0000 0.0000 0.8322 Hf
0.5000 0.5000 0.3322 Hf
0.0000 0.5000 0.0130 Tc
0.5000 0.0000 0.5130 Tc
0.0000 0.0000 0.1784 Tc
0.5000 0.5000 0.6784 Tc
```

[17]
Below is an optimized crystal structure of Ba2AlIr, with properties calculated at the GGA-PBE level.

Results
The space group is Cm.

```
Ba2AlIr
1.0
4.3972 -0.0151 0.0668
2.2153 3.7983 0.0668
1.9537 1.1178 8.9280
Ir Ba Al
1 2 1
Direct
0.4582 0.4582 0.6258 Ir
0.0444 0.0444 0.8798 Ba
0.2056 0.2056 0.3698 Ba
0.7918 0.7918 0.6246 Al
```

[18]
Below is an optimized crystal structure of KCe3B4O12, with properties calculated at the GGA-PBE level.

Results
The space group is R32. The value obtained for the raw formation energy is -2.8479 eV/atom.

```
KCe3B4O12
1.0
-3.6259 -1.5865 5.4496
5.9232 1.5274 2.8188
-2.3808 6.1518 -1.3600
K Ce B O
1 3 4 12
Direct
0.0000 0.0000 0.0000 K
0.5373 0.4627 0.0000 Ce
0.4627 0.0000 0.5373 Ce
0.0000 0.5373 0.4627 Ce
0.9607 0.0393 0.5000 B
0.0393 0.5000 0.9607 B
0.5000 0.9607 0.0393 B
0.5000 0.5000 0.5000 B
0.5000 0.3662 0.6338 O
0.9042 0.5000 0.0958 O
0.0958 0.9042 0.5000 O
0.5000 0.0958 0.9042 O
0.4092 0.9977 0.2053 O
0.2053 0.4092 0.9977 O
0.9977 0.2053 0.4092 O
0.5908 0.7947 0.0023 O
0.0023 0.5908 0.7947 O
0.7947 0.0023 0.5908 O
0.6338 0.5000 0.3662 O
0.3662 0.6338 0.5000 O
```

[19]
Below is an optimized crystal structure of Nd5Dy2Er5, with properties calculated at the GGA-PBE level.

Results
The space group is C2/m.

```
Nd5Dy2Er5
1.0
4.9450 0.0000 1.0567
2.1824 7.4723 1.8859
0.2876 0.6189 10.7529
Nd Dy Er
5 2 5
Direct
0.5000 0.5000 0.5000 Nd
0.3342 0.3323 0.9992 Nd
0.4154 0.9183 0.2510 Nd
0.5846 0.0817 0.7490 Nd
0.6658 0.6677 0.0008 Nd
0.9168 0.4183 0.7482 Dy
0.0832 0.5817 0.2518 Dy
0.8319 0.8349 0.5013 Er
0.2512 0.7503 0.7473 Er
0.7488 0.2497 0.2527 Er
0.1681 0.1651 0.4987 Er
0.0000 0.0000 0.0000 Er
```

[20]
Below is an optimized crystal structure of LiEr2Sc3S6, with properties calculated at the GGA-PBE level.

Results
The space group is C2/m. The value obtained for the raw formation energy is -1.8907 eV/atom.

```
LiEr2Sc3S6
1.0
-4.5779 -2.7487 -3.6866
5.1045 -3.4827 1.9795
-3.2680 0.4395 5.6413
Li Er Sc S
1 2 3 6
Direct
0.0000 0.0000 0.0000 Li
0.3343 0.6657 0.0000 Er
0.6657 0.3343 0.0000 Er
0.1644 0.8356 0.5000 Sc
0.8356 0.1644 0.5000 Sc
0.5000 0.5000 0.5000 Sc
0.9141 0.5879 0.7416 S
0.7607 0.7607 0.2539 S
0.0859 0.4121 0.2584 S
0.5879 0.9141 0.7416 S
0.2393 0.2393 0.7461 S
0.4121 0.0859 0.2584 S
```

Number 1: E -6.8533 eV per atom, size of the total moment 0.00 μB/f.u.. Number 2: E -3.0056 eV per atom, size of the total moment 0.00 μB/f.u.. Number 3: E -7.2649 eV per atom, size of the total moment 0.00 μB/f.u.. Number 4: E -3.5148 eV per atom, size of the total moment 0.00 μB/f.u.. Number 5: E -7.0326 eV per atom, size of the total moment 3.78 μB/f.u.. Number 6: E -10.8340 eV per atom, size of the total moment 22.88 μB/f.u.. Number 7: E -3.3435 eV per atom, size of the total moment 0.74 μB/f.u.. Number 8: E -8.9567 eV per atom, size of the total moment 0.99 μB/f.u.. Number 9: E -4.0468 eV per atom, size of the total moment 0.00 μB/f.u.. Number 10: E -6.4431 eV per atom, size of the total moment 1.05 μB/f.u.. Number 11: E -5.5010 eV per atom, size of the total moment 8.18 μB/f.u.. Number 12: E -5.9724 eV per atom, size of the total moment 0.00 μB/f.u.. Number 13: E -6.2843 eV per atom, size of the total moment 0.00 μB/f.u.. Number 14: E -2.5081 eV per atom, size of the total moment 0.00 μB/f.u.. Number 15: E -3.3394 eV per atom, size of the total moment 0.00 μB/f.u.. Number 16: E -8.7865 eV per atom, size of the total moment 0.00 μB/f.u.. Number 17: E -4.4915 eV per atom, size of the total moment 0.00 μB/f.u.. Number 18: E -8.1032 eV per atom, size of the total moment 1.07 μB/f.u.. Number 19: E -4.6347 eV per atom, size of the total moment 0.00 μB/f.u.. Number 20: E -6.4572 eV per atom, size of the total moment 0.00 μB/f.u..